Compound: Ta2MoCO
Source: Alexandria
Functional: PBE+U
Structure: relaxed

Cell lengths 4.9127, 3.7186, 4.9127 Å; angles 90.00, 90.00, 90.00 degrees
Last column: nearest neighbours and their distance in Å.
Fractional positions:
Mo1 0.0000 0.0000 0.0000  2 O 1.86
C1 0.5000 0.5000 0.5000  8 Ta 3.08
O1 0.0000 0.5000 0.0000  2 Mo 1.86
Ta1 0.0000 0.0000 0.5000  2 Mo 2.46
Ta2 0.5000 0.0000 0.0000  2 Mo 2.46

Properties
**Calculated total energy**: -6.961 eV per atom
**Space group**: No. 123
**Total magnetic moment**: 0.0 μB/f.u.